This record from Alexandria describes Ca2CdSnPb after structural relaxation. The functional is PBE.

Unit cell a=7.7855 b=4.7971 c=8.2940 alpha=90.00 beta=109.26 gamma=90.00
Last column: nearest neighbours and their distance in Å.
Space group P2_1/m (No. 11)
Inequivalent atoms, fractional coordinates:
Ca1 0.0342 0.2500 0.1821 (multiplicity 2)  1 Pb 3.16, 3 Sn 3.27-3.29, 1 Cd 3.52
Ca2 0.4082 0.7500 0.6170 (multiplicity 2)  2 Pb 3.17, 3 Sn 3.30-3.50, 1 Cd 3.38
Cd1 0.3500 0.2500 0.9613 (multiplicity 2)  1 Pb 3.03, 3 Sn 3.04-3.15, 2 Cd 3.26, 1 Ca 3.38
Sn1 0.3160 0.7500 0.1738 (multiplicity 2)  3 Cd 3.04-3.15, 5 Ca 3.27-3.30
Pb1 0.1319 0.2500 0.5837 (multiplicity 2)  1 Cd 3.03, 3 Ca 3.16-3.17, 2 Pb 3.17

Formation energy from the elements (eV/atom): -0.446
Magnetic moment (μB per formula unit): 0.00